VASP calculation (PBE) on Zn2CoAs after structural relaxation.

The formation energy from the elements comes out at -0.029 eV/atom. The density is 7.0 g/cm³.

The space group is Imm2 (No. 44) and the conventional cell measures 2.7104, 4.1055 and 11.3529 Å, with angles of 90.00, 90.00 and 90.00 degrees. Symmetry generates all atoms from Zn at (0.0000, 0.0000, 0.0000), Zn at (0.0000, 0.5000, 0.1653), Co at (0.0000, 0.0000, 0.4761) and As at (0.0000, 0.5000, 0.8068).


VASP calculation (PBE) on LaTlRe after structural relaxation.

For the distance to the lowest polymorph of the same formula, the calculation gives 0.6709 eV per atom. The formation energy from the elements comes out at 0.619 eV/atom. The density is 12.5 g/cm³.

The space group is Cm (No. 8) and the conventional cell measures 5.2422, 3.6177 and 7.6355 Å, with angles of 90.00, 103.02 and 90.00 degrees. Symmetry generates all atoms from La at (0.0000, 0.0000, 0.0000), Tl at (0.2044, 0.5000, 0.4027) and Re at (0.4000, 0.0000, 0.7024).


VASP calculation (PBE) on Mn2WCl2 after structural relaxation.

For the distance to the lowest polymorph of the same formula, the calculation gives 0.1882 eV per atom. The density is 8.2 g/cm³.

The space group is P4/mbm (No. 127) and the conventional cell measures 7.1516, 7.1516 and 2.8972 Å, with angles of 90.00, 90.00 and 90.00 degrees. Symmetry generates all atoms from Mn at (0.2011, 0.2989, 0.0000), W at (0.0000, 0.0000, 0.0000) and Cl at (0.1345, 0.6345, 0.5000).


VASP calculation (PBE) on NaSb2RhN after structural relaxation.

Its total DFT energy (no corrections) is -4.67 eV per atom. The density is 7.1 g/cm³.

The space group is P4/mmm (No. 123) and the conventional cell measures 4.5970, 4.5970 and 4.2383 Å, with angles of 90.00, 90.00 and 90.00 degrees. Symmetry generates all atoms from Na at (0.0000, 0.0000, 0.0000), Sb at (0.0000, 0.5000, 0.5000), Rh at (0.5000, 0.5000, 0.0000) and N at (0.0000, 0.0000, 0.5000).


VASP calculation (PBE) on TcRuRh3 after structural relaxation.

For the distance to the lowest polymorph of the same formula, the calculation gives 1.1220 eV per atom. The formation energy from the elements comes out at 1.604 eV/atom. The density is 8.6 g/cm³.

The space group is Pm-3m (No. 221) and the conventional cell measures 4.6136, 4.6136 and 4.6136 Å, with angles of 90.00, 90.00 and 90.00 degrees. Symmetry generates all atoms from Tc at (0.0000, 0.0000, 0.0000), Ru at (0.5000, 0.5000, 0.5000) and Rh at (0.0000, 0.0000, 0.5000).


VASP calculation (PBE) on NpAgS after structural relaxation.

Its total DFT energy (no corrections) is -7.37 eV per atom. The density is 9.9 g/cm³.

The space group is P4/nmm (No. 129, origin choice 2) and the conventional cell measures 3.8425, 3.8425 and 8.5560 Å, with angles of 90.00, 90.00 and 90.00 degrees. Symmetry generates all atoms from Np at (0.2500, 0.2500, 0.1800), Ag at (0.2500, 0.2500, 0.5488) and S at (0.2500, 0.2500, 0.8588).


VASP calculation (PBE) on TaCuIrRu after structural relaxation.

For the distance to the lowest polymorph of the same formula, the calculation gives 0.0000 eV per atom. The formation energy from the elements comes out at -0.297 eV/atom. The density is 15.4 g/cm³.

The space group is Pmmm (No. 47) and the conventional cell measures 3.6383, 3.9677 and 4.0277 Å, with angles of 90.00, 90.00 and 90.00 degrees. Symmetry generates all atoms from Ta at (0.0000, 0.0000, 0.0000), Cu at (0.0000, 0.5000, 0.5000), Ir at (0.5000, 0.0000, 0.5000) and Ru at (0.5000, 0.5000, 0.0000).


VASP calculation (PBE) on Nd3ErCd2 after structural relaxation.

For the distance to the lowest polymorph of the same formula, the calculation gives 0.0521 eV per atom. The formation energy from the elements comes out at -0.136 eV/atom. The density is 7.7 g/cm³.

The space group is Cmmm (No. 65) and the conventional cell measures 4.9635, 14.8471 and 4.8092 Å, with angles of 90.00, 90.00 and 90.00 degrees. Symmetry generates all atoms from Nd at (0.0000, 0.0000, 0.0000), Nd at (0.0000, 0.3281, 0.0000), Er at (0.0000, 0.5000, 0.5000) and Cd at (0.0000, 0.1637, 0.5000).


VASP calculation (PBE) on SrGa2O4 after structural relaxation.

For the distance to the lowest polymorph of the same formula, the calculation gives 0.1868 eV per atom. The density is 6.0 g/cm³.

The space group is Cmcm (No. 63) and the conventional cell measures 3.1520, 10.2035 and 10.1019 Å, with angles of 90.00, 90.00 and 90.00 degrees. Symmetry generates all atoms from Sr at (0.0000, 0.1049, 0.2500), Ga at (0.0000, 0.3584, 0.0701), O at (0.0000, 0.0000, 0.0000), O at (0.0000, 0.2676, 0.6019) and O at (0.0000, 0.4228, 0.2500).


VASP calculation (PBE) on PbC2I after structural relaxation.

For the distance to the lowest polymorph of the same formula, the calculation gives 0.5372 eV per atom. The density is 8.3 g/cm³.

The space group is Fm-3m (No. 225) and the conventional cell measures 6.5881, 6.5881 and 6.5881 Å, with angles of 90.00, 90.00 and 90.00 degrees. Symmetry generates all atoms from Pb at (0.0000, 0.0000, 0.0000), C at (0.2500, 0.2500, 0.2500) and I at (0.0000, 0.0000, 0.5000).


VASP calculation (PBE) on UMn3P after structural relaxation.

The formation energy from the elements comes out at -0.218 eV/atom. The density is 10.1 g/cm³.

The space group is C2 (No. 5) and the conventional cell measures 6.7036, 5.3090 and 4.2198 Å, with angles of 90.00, 108.14 and 90.00 degrees. Symmetry generates all atoms from U at (0.0000, 0.0000, 0.0000), Mn at (0.0000, 0.4154, 0.0000), Mn at (0.2196, 0.2754, 0.5914) and P at (0.0000, 0.6118, 0.5000).


VASP calculation (PBE) on RbV3Pt after structural relaxation.

For the distance to the lowest polymorph of the same formula, the calculation gives 1.4115 eV per atom. The formation energy from the elements comes out at 2.446 eV/atom. The density is 8.3 g/cm³.

The space group is Pm-3m (No. 221) and the conventional cell measures 4.4338, 4.4338 and 4.4338 Å, with angles of 90.00, 90.00 and 90.00 degrees. Symmetry generates all atoms from Rb at (0.0000, 0.0000, 0.0000), V at (0.0000, 0.0000, 0.5000) and Pt at (0.5000, 0.5000, 0.5000).